1.
First-principles (PBE-GGA) data for Pr2HoHg4 after structural relaxation, as listed in Alexandria.

Results
excess energy over the best structure of this formula in the dataset = 2.03 eV per formula unit
crystal system = tetragonal
calculated total energy = -2.249 eV/atom
energy relative to the elements = -0.057 eV/atom

Unit cell a=8.8243 b=8.8243 c=8.8243 alpha=142.83 beta=142.83 gamma=53.57
Fractional coordinates of all 7 atoms:
1 Pr 0.1086 0.1086 0.0000
2 Pr 0.8914 0.8914 0.0000
3 Ho 0.5000 0.5000 0.0000
4 Hg 0.0000 0.5000 0.5000
5 Hg 0.3096 0.3096 0.0000
6 Hg 0.5000 0.0000 0.5000
7 Hg 0.6904 0.6904 0.0000

=====

2.
First-principles (PBE-GGA) data for Pr3HoHg12 after structural relaxation, as listed in Alexandria.

Results
crystal system = tetragonal
calculated total energy = -1.748 eV/atom
energy relative to the elements = -0.339 eV/atom

Unit cell a=4.6879 b=4.6879 c=18.8764 alpha=90.00 beta=90.00 gamma=90.00
Fractional coordinates of all 16 atoms:
1 Pr 0.0000 0.0000 0.0000
2 Pr 0.0000 0.0000 0.2550
3 Pr 0.0000 0.0000 0.7450
4 Ho 0.0000 0.0000 0.5000
5 Hg 0.0000 0.5000 0.1270
6 Hg 0.0000 0.5000 0.3807
7 Hg 0.0000 0.5000 0.6193
8 Hg 0.0000 0.5000 0.8730
9 Hg 0.5000 0.0000 0.1270
10 Hg 0.5000 0.0000 0.3807
11 Hg 0.5000 0.0000 0.6193
12 Hg 0.5000 0.0000 0.8730
13 Hg 0.5000 0.5000 0.0000
14 Hg 0.5000 0.5000 0.2547
15 Hg 0.5000 0.5000 0.5000
16 Hg 0.5000 0.5000 0.7453

=====

3.
First-principles (PBE-GGA) data for Pr8Ho2Hg after structural relaxation, as listed in Alexandria.

Results
crystal system = monoclinic
calculated total energy = -4.328 eV/atom
energy relative to the elements = 0.008 eV/atom

Unit cell a=9.4431 b=9.4431 c=7.9909 alpha=110.79 beta=110.79 gamma=35.00
Fractional coordinates of all 11 atoms:
1 Pr 0.0109 0.0109 0.2599
2 Pr 0.1805 0.1805 0.7220
3 Pr 0.3384 0.3384 0.5839
4 Pr 0.3877 0.3877 0.0721
5 Pr 0.6123 0.6123 0.9279
6 Pr 0.6616 0.6616 0.4161
7 Pr 0.8195 0.8195 0.2780
8 Pr 0.9891 0.9891 0.7401
9 Ho 0.1901 0.1901 0.1596
10 Ho 0.8099 0.8099 0.8404
11 Hg 0.5000 0.5000 0.5000

=====

4.
First-principles (PBE-GGA) data for Pr2Ho2Hg after structural relaxation, as listed in Alexandria.

Results
excess energy over the best structure of this formula in the dataset = 0.00 eV per formula unit
crystal system = tetragonal
calculated total energy = -3.985 eV/atom
energy relative to the elements = -0.182 eV/atom

Unit cell a=11.9123 b=11.9123 c=11.9123 alpha=162.40 beta=162.40 gamma=24.99
Fractional coordinates of all 5 atoms:
1 Pr 0.1923 0.1923 0.0000
2 Pr 0.8077 0.8077 0.0000
3 Ho 0.4173 0.4173 0.0000
4 Ho 0.5827 0.5827 0.0000
5 Hg 0.0000 0.0000 0.0000

=====

5.
First-principles (PBE-GGA) data for PrHo4Hg4 after structural relaxation, as listed in Alexandria.

Results
crystal system = tetragonal
calculated total energy = -2.954 eV/atom
energy relative to the elements = -0.254 eV/atom

Unit cell a=9.6136 b=9.6136 c=5.4930 alpha=90.00 beta=90.00 gamma=90.00
Fractional coordinates of all 18 atoms:
1 Pr 0.2500 0.2500 0.2500
2 Pr 0.7500 0.7500 0.7500
3 Ho 0.1022 0.8399 0.6663
4 Ho 0.1601 0.6022 0.1663
5 Ho 0.3399 0.8978 0.1663
6 Ho 0.3978 0.6601 0.6663
7 Ho 0.6022 0.3399 0.3337
8 Ho 0.6601 0.1022 0.8337
9 Ho 0.8399 0.3978 0.8337
10 Ho 0.8978 0.1601 0.3337
11 Hg 0.0404 0.1442 0.8339
12 Hg 0.1442 0.4596 0.6661
13 Hg 0.3558 0.0404 0.6661
14 Hg 0.4596 0.3558 0.8339
15 Hg 0.5404 0.6442 0.1661
16 Hg 0.6442 0.9596 0.3339
17 Hg 0.8558 0.5404 0.3339
18 Hg 0.9596 0.8558 0.1661

=====

6.
First-principles (PBE-GGA) data for PrHo2Hg2 after structural relaxation, as listed in Alexandria.

Results
excess energy over the best structure of this formula in the dataset = 0.00 eV per formula unit
crystal system = monoclinic
calculated total energy = -3.283 eV/atom
energy relative to the elements = -0.376 eV/atom

Unit cell a=3.7489 b=5.4008 c=13.8958 alpha=90.00 beta=97.74 gamma=90.00
Fractional coordinates of all 10 atoms:
1 Pr 0.1485 0.2500 0.2926
2 Pr 0.8515 0.7500 0.7074
3 Ho 0.0489 0.7500 0.0962
4 Ho 0.2361 0.7500 0.4728
5 Ho 0.7639 0.2500 0.5272
6 Ho 0.9511 0.2500 0.9038
7 Hg 0.3546 0.2500 0.7114
8 Hg 0.4558 0.7500 0.9118
9 Hg 0.5442 0.2500 0.0882
10 Hg 0.6454 0.7500 0.2886

=====

7.
First-principles (PBE-GGA) data for Pr3HoHg after structural relaxation, as listed in Alexandria.

Results
excess energy over the best structure of this formula in the dataset = 0.44 eV per formula unit
crystal system = monoclinic
calculated total energy = -3.927 eV/atom
energy relative to the elements = -0.084 eV/atom

Unit cell a=6.9616 b=6.9616 c=8.1793 alpha=108.37 beta=108.37 gamma=66.90
Fractional coordinates of all 10 atoms:
1 Pr 0.0478 0.0478 0.2331
2 Pr 0.0909 0.5803 0.3529
3 Pr 0.4197 0.9091 0.6471
4 Pr 0.5803 0.0909 0.3529
5 Pr 0.9091 0.4197 0.6471
6 Pr 0.9522 0.9522 0.7669
7 Ho 0.4406 0.4406 0.7590
8 Ho 0.5594 0.5594 0.2410
9 Hg 0.2680 0.2680 0.9983
10 Hg 0.7320 0.7320 0.0017

=====

8.
First-principles (PBE-GGA) data for Pr3HoHg5 after structural relaxation, as listed in Alexandria.

Results
crystal system = hexagonal
calculated total energy = -2.702 eV/atom
energy relative to the elements = -0.433 eV/atom

Unit cell a=9.3306 b=9.3306 c=6.7042 alpha=90.00 beta=90.00 gamma=120.00
Fractional coordinates of all 18 atoms:
1 Pr 0.0000 0.3725 0.2500
2 Pr 0.0000 0.6275 0.7500
3 Pr 0.3725 0.0000 0.2500
4 Pr 0.3725 0.3725 0.7500
5 Pr 0.6275 0.0000 0.7500
6 Pr 0.6275 0.6275 0.2500
7 Ho 0.0000 0.0000 0.0000
8 Ho 0.0000 0.0000 0.5000
9 Hg 0.0000 0.2916 0.7500
10 Hg 0.0000 0.7084 0.2500
11 Hg 0.2916 0.0000 0.7500
12 Hg 0.2916 0.2916 0.2500
13 Hg 0.3333 0.6667 0.0000
14 Hg 0.3333 0.6667 0.5000
15 Hg 0.6667 0.3333 0.0000
16 Hg 0.6667 0.3333 0.5000
17 Hg 0.7084 0.0000 0.2500
18 Hg 0.7084 0.7084 0.7500

=====

9.
First-principles (PBE-GGA) data for Pr2Ho4Hg after structural relaxation, as listed in Alexandria.

Results
crystal system = monoclinic
calculated total energy = -4.070 eV/atom
energy relative to the elements = -0.045 eV/atom

Unit cell a=8.7419 b=8.7419 c=8.0691 alpha=116.64 beta=116.64 gamma=23.95
Fractional coordinates of all 7 atoms:
1 Pr 0.2160 0.2160 0.1381
2 Pr 0.7840 0.7840 0.8619
3 Ho 0.1373 0.1373 0.4663
4 Ho 0.4424 0.4424 0.2604
5 Ho 0.5576 0.5576 0.7396
6 Ho 0.8627 0.8627 0.5337
7 Hg 0.0000 0.0000 0.0000

=====

10.
First-principles (PBE-GGA) data for Pr4HoHg after structural relaxation, as listed in Alexandria.

Results
excess energy over the best structure of this formula in the dataset = 0.56 eV per formula unit
crystal system = monoclinic
calculated total energy = -4.051 eV/atom
energy relative to the elements = -0.052 eV/atom

Unit cell a=8.4719 b=8.4719 c=6.5379 alpha=100.22 beta=100.22 gamma=115.16
Fractional coordinates of all 12 atoms:
1 Pr 0.0893 0.7108 0.9506
2 Pr 0.1723 0.3979 0.6248
3 Pr 0.2892 0.9107 0.5494
4 Pr 0.3979 0.1723 0.1248
5 Pr 0.6021 0.8277 0.8752
6 Pr 0.7108 0.0893 0.4506
7 Pr 0.8277 0.6021 0.3752
8 Pr 0.9107 0.2892 0.0494
9 Ho 0.4076 0.5924 0.2500
10 Ho 0.5924 0.4076 0.7500
11 Hg 0.0019 0.9981 0.2500
12 Hg 0.9981 0.0019 0.7500

=====

11.
First-principles (PBE-GGA) data for Pr7HoHg4 after structural relaxation, as listed in Alexandria.

Results
crystal system = monoclinic
calculated total energy = -3.406 eV/atom
energy relative to the elements = -0.135 eV/atom

Unit cell a=8.1089 b=8.1089 c=10.1793 alpha=120.66 beta=120.66 gamma=42.63
Fractional coordinates of all 12 atoms:
1 Pr 0.0000 0.0000 0.0000
2 Pr 0.2318 0.2318 0.6846
3 Pr 0.2847 0.2847 0.1021
4 Pr 0.4380 0.4380 0.6018
5 Pr 0.5620 0.5620 0.3982
6 Pr 0.7153 0.7153 0.8979
7 Pr 0.7682 0.7682 0.3154
8 Ho 0.5000 0.5000 0.0000
9 Hg 0.0460 0.0460 0.7283
10 Hg 0.1885 0.1885 0.3446
11 Hg 0.8115 0.8115 0.6554
12 Hg 0.9540 0.9540 0.2717

=====

12.
First-principles (PBE-GGA) data for Pr4Ho5Hg after structural relaxation, as listed in Alexandria.

Results
crystal system = tetragonal
calculated total energy = -4.313 eV/atom
energy relative to the elements = -0.082 eV/atom

Unit cell a=3.6355 b=3.6355 c=24.1730 alpha=90.00 beta=90.00 gamma=90.00
Fractional coordinates of all 10 atoms:
1 Pr 0.0000 0.0000 0.1049
2 Pr 0.0000 0.0000 0.3152
3 Pr 0.0000 0.0000 0.6848
4 Pr 0.0000 0.0000 0.8951
5 Ho 0.5000 0.5000 0.0000
6 Ho 0.5000 0.5000 0.2104
7 Ho 0.5000 0.5000 0.4201
8 Ho 0.5000 0.5000 0.5799
9 Ho 0.5000 0.5000 0.7896
10 Hg 0.0000 0.0000 0.5000

=====

13.
First-principles (PBE-GGA) data for PrHo2Hg6 after structural relaxation, as listed in Alexandria.

Results
excess energy over the best structure of this formula in the dataset = 1.98 eV per formula unit
crystal system = tetragonal
calculated total energy = -1.919 eV/atom
energy relative to the elements = -0.169 eV/atom

Unit cell a=13.2683 b=13.2683 c=13.2683 alpha=160.28 beta=160.28 gamma=28.04
Fractional coordinates of all 9 atoms:
1 Pr 0.0000 0.0000 0.0000
2 Ho 0.3309 0.3309 0.0000
3 Ho 0.6691 0.6691 0.0000
4 Hg 0.0886 0.5886 0.5000
5 Hg 0.2500 0.7500 0.5000
6 Hg 0.4114 0.9114 0.5000
7 Hg 0.5886 0.0886 0.5000
8 Hg 0.7500 0.2500 0.5000
9 Hg 0.9114 0.4114 0.5000

=====

14.
First-principles (PBE-GGA) data for Pr4Ho2Hg after structural relaxation, as listed in Alexandria.

Results
crystal system = monoclinic
calculated total energy = -4.097 eV/atom
energy relative to the elements = -0.014 eV/atom

Unit cell a=8.5491 b=8.5491 c=8.6777 alpha=116.90 beta=116.90 gamma=24.40
Fractional coordinates of all 7 atoms:
1 Pr 0.0847 0.0847 0.2038
2 Pr 0.3706 0.3706 0.1161
3 Pr 0.6294 0.6294 0.8839
4 Pr 0.9153 0.9153 0.7962
5 Ho 0.2150 0.2150 0.6366
6 Ho 0.7850 0.7850 0.3634
7 Hg 0.0000 0.0000 0.5000

=====

15.
First-principles (PBE-GGA) data for Pr4Ho3Hg after structural relaxation, as listed in Alexandria.

Results
crystal system = tetragonal
calculated total energy = -4.237 eV/atom
energy relative to the elements = -0.093 eV/atom

Unit cell a=3.6848 b=3.6848 c=19.1837 alpha=90.00 beta=90.00 gamma=90.00
Fractional coordinates of all 8 atoms:
1 Pr 0.0000 0.0000 0.1088
2 Pr 0.0000 0.0000 0.3707
3 Pr 0.0000 0.0000 0.6293
4 Pr 0.0000 0.0000 0.8912
5 Ho 0.5000 0.5000 0.2407
6 Ho 0.5000 0.5000 0.5000
7 Ho 0.5000 0.5000 0.7593
8 Hg 0.5000 0.5000 0.0000

=====

16.
First-principles (PBE-GGA) data for PrHo8Hg2 after structural relaxation, as listed in Alexandria.

Results
crystal system = monoclinic
calculated total energy = -3.865 eV/atom
energy relative to the elements = -0.046 eV/atom

Unit cell a=8.6108 b=8.6108 c=5.5408 alpha=100.21 beta=100.21 gamma=118.58
Fractional coordinates of all 11 atoms:
1 Pr 0.0000 0.0000 0.0000
2 Ho 0.0916 0.3216 0.6088
3 Ho 0.2273 0.7727 0.0000
4 Ho 0.3216 0.0916 0.6088
5 Ho 0.4022 0.4022 0.2027
6 Ho 0.5978 0.5978 0.7973
7 Ho 0.6784 0.9084 0.3912
8 Ho 0.7727 0.2273 0.0000
9 Ho 0.9084 0.6784 0.3912
10 Hg 0.3066 0.6934 0.5000
11 Hg 0.6934 0.3066 0.5000

=====

17.
First-principles (PBE-GGA) data for Pr12HoHg6 after structural relaxation, as listed in Alexandria.

Results
crystal system = trigonal
calculated total energy = -3.536 eV/atom
energy relative to the elements = -0.181 eV/atom

Unit cell a=9.3516 b=9.3516 c=9.3516 alpha=110.91 beta=110.91 gamma=110.91
Fractional coordinates of all 19 atoms:
1 Pr 0.0809 0.7203 0.1672
2 Pr 0.1672 0.0809 0.7203
3 Pr 0.1907 0.4771 0.3450
4 Pr 0.2797 0.8328 0.9191
5 Pr 0.3450 0.1907 0.4771
6 Pr 0.4771 0.3450 0.1907
7 Pr 0.5229 0.6550 0.8093
8 Pr 0.6550 0.8093 0.5229
9 Pr 0.7203 0.1672 0.0809
10 Pr 0.8093 0.5229 0.6550
11 Pr 0.8328 0.9191 0.2797
12 Pr 0.9191 0.2797 0.8328
13 Ho 0.0000 0.0000 0.0000
14 Hg 0.0743 0.3598 0.5893
15 Hg 0.3598 0.5893 0.0743
16 Hg 0.4107 0.9257 0.6402
17 Hg 0.5893 0.0743 0.3598
18 Hg 0.6402 0.4107 0.9257
19 Hg 0.9257 0.6402 0.4107

=====

18.
First-principles (PBE-GGA) data for Pr2Ho8Hg after structural relaxation, as listed in Alexandria.

Results
crystal system = monoclinic
calculated total energy = -4.262 eV/atom
energy relative to the elements = -0.036 eV/atom

Unit cell a=10.0953 b=10.0953 c=6.4089 alpha=95.24 beta=95.24 gamma=32.00
Fractional coordinates of all 11 atoms:
1 Pr 0.2440 0.2440 0.3287
2 Pr 0.7560 0.7560 0.6713
3 Ho 0.0423 0.0423 0.2668
4 Ho 0.1526 0.1526 0.8047
5 Ho 0.3433 0.3433 0.8757
6 Ho 0.4232 0.4232 0.3953
7 Ho 0.5768 0.5768 0.6047
8 Ho 0.6567 0.6567 0.1243
9 Ho 0.8474 0.8474 0.1953
10 Ho 0.9577 0.9577 0.7332
11 Hg 0.5000 0.5000 0.0000

=====

19.
First-principles (PBE-GGA) data for Pr12Ho3Hg after structural relaxation, as listed in Alexandria.

Results
crystal system = tetragonal
calculated total energy = -4.488 eV/atom
energy relative to the elements = -0.026 eV/atom

Unit cell a=5.1164 b=5.1164 c=20.7445 alpha=90.00 beta=90.00 gamma=90.00
Fractional coordinates of all 16 atoms:
1 Pr 0.0000 0.0000 0.0000
2 Pr 0.0000 0.0000 0.2460
3 Pr 0.0000 0.0000 0.5000
4 Pr 0.0000 0.0000 0.7540
5 Pr 0.0000 0.5000 0.1213
6 Pr 0.0000 0.5000 0.3736
7 Pr 0.0000 0.5000 0.6264
8 Pr 0.0000 0.5000 0.8787
9 Pr 0.5000 0.0000 0.1213
10 Pr 0.5000 0.0000 0.3736
11 Pr 0.5000 0.0000 0.6264
12 Pr 0.5000 0.0000 0.8787
13 Ho 0.5000 0.5000 0.2475
14 Ho 0.5000 0.5000 0.5000
15 Ho 0.5000 0.5000 0.7525
16 Hg 0.5000 0.5000 0.0000

=====

20.
First-principles (PBE-GGA) data for PrHoHg5 after structural relaxation, as listed in Alexandria.

Results
crystal system = orthorhombic
calculated total energy = -1.807 eV/atom
energy relative to the elements = -0.255 eV/atom

Unit cell a=5.3737 b=5.3737 c=6.9644 alpha=90.00 beta=90.00 gamma=106.82
Fractional coordinates of all 7 atoms:
1 Pr 0.0000 0.0000 0.0000
2 Ho 0.5000 0.5000 0.5000
3 Hg 0.0000 0.0000 0.5000
4 Hg 0.0000 0.5000 0.2457
5 Hg 0.0000 0.5000 0.7543
6 Hg 0.5000 0.0000 0.2457
7 Hg 0.5000 0.0000 0.7543

=====

21.
First-principles (PBE-GGA) data for PrHo4Hg after structural relaxation, as listed in Alexandria.

Results
excess energy over the best structure of this formula in the dataset = 0.00 eV per formula unit
crystal system = tetragonal
calculated total energy = -4.038 eV/atom
energy relative to the elements = -0.139 eV/atom

Unit cell a=3.5950 b=3.5950 c=13.9969 alpha=90.00 beta=90.00 gamma=90.00
Fractional coordinates of all 6 atoms:
1 Pr 0.0000 0.0000 0.0000
2 Ho 0.0000 0.0000 0.3587
3 Ho 0.0000 0.0000 0.6413
4 Ho 0.5000 0.5000 0.1819
5 Ho 0.5000 0.5000 0.8181
6 Hg 0.5000 0.5000 0.5000